(1)
Here is an optimized crystal structure of Sr2Ga4CuPd3 from the Alexandria database. Energies are from GGA-PBE.

Lattice parameters (Å, degrees): 4.4779 4.4779 10.1768 90.00 90.00 90.00
Space group P-4m2 (No. 115)
Asymmetric unit:
Sr 0.0000 0.5000 0.2441
Ga 0.0000 0.0000 0.5000
Ga 0.0000 0.5000 0.8829
Ga 0.5000 0.5000 0.5000
Cu 0.5000 0.5000 0.0000
Pd 0.0000 0.0000 0.0000
Pd 0.0000 0.5000 0.6295

Total magnetization: 0.000 μB per atom
ΔE_f: -617 meV/atom



(2)
Here is an optimized crystal structure of Er2Ga2AgPd5 from the Alexandria database. Energies are from GGA-PBE.

Lattice parameters (Å, degrees): 9.7263 9.7263 3.7927 90.00 90.00 90.00
Space group P4/mbm (No. 127)
Asymmetric unit:
Er 0.1772 0.3228 0.0000
Ga 0.1215 0.6215 0.0000
Ag 0.0000 0.0000 0.0000
Pd 0.0000 0.5000 0.5000
Pd 0.0670 0.7923 0.5000

Total magnetization: 0.000 μB per atom
ΔE_f: -668 meV/atom